# 1
The following is a PBE-GGA calculation of a relaxed AlInPt crystal, from Alexandria via LeMat-Bulk.

The structure belongs to space group P-6m2 (No. 187); the cell edges are 4.2634, 4.2634 and 3.7137 Å and the angles 90.00°, 90.00° and 120.00°. The distinct sites, in fractional coordinates, are Al at (0.0000, 0.0000, 0.0000), In at (0.6667, 0.3333, 0.5000) and Pt at (0.3333, 0.6667, 0.0000).

For the formation energy, the calculation gives -110 kJ/mol of formula units.

=====

# 2
The following is a PBE-GGA calculation of a relaxed Al2InPt crystal, from Alexandria via LeMat-Bulk.

The structure belongs to space group C2/m (No. 12); the cell edges are 5.435, 9.859 and 3.066 Å and the angles 90.00°, 117.87° and 90.00°. The distinct sites, in fractional coordinates, are Al at (0.250, 0.250, 0.000), In at (0.000, 0.000, 0.000) and Pt at (0.000, 0.500, 0.000).

For the formation energy, the calculation gives -55 kJ/mol of formula units.

=====

# 3
The following is a PBE-GGA calculation of a relaxed Al3InPt crystal, from Alexandria via LeMat-Bulk.

The structure belongs to space group Pm-3m (No. 221); the cell edges are 4.829, 4.829 and 4.829 Å and the angles 90.00°, 90.00° and 90.00°. The distinct sites, in fractional coordinates, are Al at (0.000, 0.000, 0.500), In at (0.500, 0.500, 0.500) and Pt at (0.000, 0.000, 0.000).

The value obtained for the polymorph energy (0 for the lowest one) is 0 meV per atom. For the formation energy, the calculation gives -88 kJ/mol of formula units.

=====

# 4
The following is a PBE-GGA calculation of a relaxed Al2InPt8 crystal, from Alexandria via LeMat-Bulk.

The structure belongs to space group C2/m (No. 12); the cell edges are 14.152, 4.012 and 6.426 Å and the angles 90.00°, 107.87° and 90.00°. The distinct sites, in fractional coordinates, are Al at (0.219, 0.000, 0.158), In at (0.000, 0.500, 0.500), Pt at (0.045, 0.000, 0.223), Pt at (0.100, 0.500, 0.973), Pt at (0.157, 0.000, 0.734) and Pt at (0.179, 0.500, 0.434).

For the formation energy, the calculation gives -600 kJ/mol of formula units.

=====

# 5
The following is a PBE-GGA calculation of a relaxed AlIn3Pt12 crystal, from Alexandria via LeMat-Bulk.

The structure belongs to space group P4/mmm (No. 123); the cell edges are 4.021, 4.021 and 16.046 Å and the angles 90.00°, 90.00° and 90.00°. The distinct sites, in fractional coordinates, are Al at (0.000, 0.000, 0.000), In at (0.000, 0.000, 0.246), In at (0.000, 0.000, 0.500), Pt at (0.000, 0.500, 0.117), Pt at (0.000, 0.500, 0.373), Pt at (0.500, 0.500, 0.000), Pt at (0.500, 0.500, 0.245) and Pt at (0.500, 0.500, 0.500).

For the formation energy, the calculation gives -702 kJ/mol of formula units.

=====

# 6
The following is a PBE-GGA calculation of a relaxed AlIn3Pt crystal, from Alexandria via LeMat-Bulk.

The structure belongs to space group Pm-3m (No. 221); the cell edges are 5.189, 5.189 and 5.189 Å and the angles 90.00°, 90.00° and 90.00°. The distinct sites, in fractional coordinates, are Al at (0.000, 0.000, 0.000), In at (0.000, 0.500, 0.500) and Pt at (0.500, 0.500, 0.500).

The value obtained for the polymorph energy (0 for the lowest one) is 0 meV per atom. For the formation energy, the calculation gives 39 kJ/mol of formula units.

=====

# 7
The following is a PBE-GGA calculation of a relaxed Al2InPt crystal, from Alexandria via LeMat-Bulk.

The structure belongs to space group R3m (No. 160, hexagonal axes); the cell edges are 3.1413, 3.1413 and 25.6935 Å and the angles 90.00°, 90.00° and 120.00°. The distinct sites, in fractional coordinates, are Al at (0.0000, 0.0000, 0.0000), Al at (0.0000, 0.0000, 0.2490), In at (0.0000, 0.0000, 0.4892) and Pt at (0.0000, 0.0000, 0.7357).

For the formation energy, the calculation gives -89 kJ/mol of formula units.

=====

# 8
The following is a PBE-GGA calculation of a relaxed AlIn4Pt crystal, from Alexandria via LeMat-Bulk.

The structure belongs to space group F-43m (No. 216); the cell edges are 8.376, 8.376 and 8.376 Å and the angles 90.00°, 90.00° and 90.00°. The distinct sites, in fractional coordinates, are Al at (0.000, 0.000, 0.000), In at (0.125, 0.125, 0.625) and Pt at (0.250, 0.250, 0.250).

For the formation energy, the calculation gives 258 kJ/mol of formula units.

=====

# 9
The following is a PBE-GGA calculation of a relaxed Al4InPt crystal, from Alexandria via LeMat-Bulk.

The structure belongs to space group F-43m (No. 216); the cell edges are 7.538, 7.538 and 7.538 Å and the angles 90.00°, 90.00° and 90.00°. The distinct sites, in fractional coordinates, are Al at (0.125, 0.125, 0.125), In at (0.250, 0.250, 0.750) and Pt at (0.000, 0.000, 0.500).

For the formation energy, the calculation gives 60 kJ/mol of formula units.

=====

# 10
The following is a PBE-GGA calculation of a relaxed Al2InPt crystal, from Alexandria via LeMat-Bulk.

The structure belongs to space group F-43m (No. 216); the cell edges are 6.596, 6.596 and 6.596 Å and the angles 90.00°, 90.00° and 90.00°. The distinct sites, in fractional coordinates, are Al at (0.000, 0.000, 0.000), Al at (0.250, 0.250, 0.250), In at (0.250, 0.250, 0.750) and Pt at (0.000, 0.000, 0.500).

For the formation energy, the calculation gives -45 kJ/mol of formula units.

=====

# 11
The following is a PBE-GGA calculation of a relaxed Al2InPt crystal, from Alexandria via LeMat-Bulk.

The structure belongs to space group Pmm2 (No. 25); the cell edges are 2.966, 3.891 and 6.265 Å and the angles 90.00°, 90.00° and 90.00°. The distinct sites, in fractional coordinates, are Al at (0.000, 0.000, 0.000), Al at (0.500, 0.500, 0.253), In at (0.000, 0.000, 0.528) and Pt at (0.500, 0.500, 0.845).

For the formation energy, the calculation gives -115 kJ/mol of formula units.

=====

# 12
The following is a PBE-GGA calculation of a relaxed Al2InPt crystal, from Alexandria via LeMat-Bulk.

The structure belongs to space group Pm (No. 6); the cell edges are 3.644, 4.200 and 5.186 Å and the angles 90.00°, 110.21° and 90.00°. The distinct sites, in fractional coordinates, are Al at (0.000, 0.000, 0.000), Al at (0.427, 0.500, 0.851), In at (0.700, 0.500, 0.392) and Pt at (0.289, 0.000, 0.576).

For the formation energy, the calculation gives -133 kJ/mol of formula units.

=====

# 13
The following is a PBE-GGA calculation of a relaxed Al2InPt crystal, from Alexandria via LeMat-Bulk.

The structure belongs to space group P4/mmm (No. 123); the cell edges are 4.123, 4.123 and 4.072 Å and the angles 90.00°, 90.00° and 90.00°. The distinct sites, in fractional coordinates, are Al at (0.000, 0.500, 0.000), In at (0.000, 0.000, 0.500) and Pt at (0.500, 0.500, 0.500).

For the formation energy, the calculation gives -78 kJ/mol of formula units.

=====

# 14
The following is a PBE-GGA calculation of a relaxed Al2InPt crystal, from Alexandria via LeMat-Bulk.

The structure belongs to space group I-42d (No. 122); the cell edges are 7.882, 7.882 and 5.331 Å and the angles 90.00°, 90.00° and 90.00°. The distinct sites, in fractional coordinates, are Al at (0.182, 0.250, 0.125), In at (0.000, 0.000, 0.500) and Pt at (0.000, 0.000, 0.000).

For the formation energy, the calculation gives -80 kJ/mol of formula units.